*one*
A relaxed structure of Nd3RuBr2, computed with PBE-GGA.

Properties
* SG: No. 71
* total magnetic moment: 0.000 μB per formula unit

Structure (POSCAR):
```
Nd3RuBr2
1.0
-1.993 2.974 7.420
1.993 -2.974 7.420
1.993 2.974 -7.420
Nd Ru Br
3 1 2
Direct
0.000 0.000 0.000
0.373 0.373 0.000
0.627 0.627 0.000
0.500 0.000 0.500
0.183 0.683 0.500
0.817 0.317 0.500
```

=====

*two*
A relaxed structure of Nd3RuBr2, computed with PBE-GGA.

Properties
* SG: No. 15
* total magnetic moment: 0.000 μB per formula unit

Structure (POSCAR):
```
Nd3RuBr2
1.0
4.062 -6.361 0.000
4.062 6.361 0.000
-2.396 0.000 6.689
Nd Ru Br
6 2 4
Direct
0.000 0.500 0.500
0.120 0.262 0.001
0.262 0.120 0.501
0.500 0.000 0.000
0.738 0.880 0.499
0.880 0.738 0.999
0.095 0.905 0.750
0.905 0.095 0.250
0.271 0.729 0.250
0.426 0.574 0.750
0.574 0.426 0.250
0.729 0.271 0.750
```

=====

Energies, relative to the best one, in meV/atom: *one* 0; *two* 23.

=====

*one*
A relaxed structure of Nd2SbBr, computed with PBE-GGA.

Properties
* SG: No. 225
* total magnetic moment: 0.006 μB per formula unit

Structure (POSCAR):
```
Nd2SbBr
1.0
0.000 3.827 3.827
3.827 0.000 3.827
3.827 3.827 0.000
Nd Sb Br
2 1 1
Direct
0.250 0.250 0.250
0.750 0.750 0.750
0.000 0.000 0.000
0.500 0.500 0.500
```

=====

*two*
A relaxed structure of Nd2SbBr, computed with PBE-GGA.

Properties
* SG: No. 160
* total magnetic moment: 0.000 μB per formula unit

Structure (POSCAR):
```
Nd2SbBr
1.0
2.170 1.253 7.760
-2.170 1.253 7.760
0.000 -2.506 7.760
Nd Sb Br
2 1 1
Direct
0.000 0.000 0.000
0.182 0.182 0.182
0.592 0.592 0.592
0.423 0.423 0.423
```

=====

Energies, relative to the best one, in meV/atom: *one* 27; *two* 0.

=====

*one*
A relaxed structure of Nd2SbBr, computed with PBE-GGA.

Properties
* SG: No. 25
* total magnetic moment: 0.000 μB per formula unit

Structure (POSCAR):
```
Nd2SbBr
1.0
4.401 0.000 0.000
0.000 4.443 0.000
0.000 0.000 6.227
Nd Sb Br
2 1 1
Direct
0.000 0.000 0.000
0.500 0.500 0.499
0.000 0.000 0.500
0.500 0.500 0.999
```

=====

*two*
A relaxed structure of Nd2SbBr, computed with PBE-GGA.

Properties
* SG: No. 166
* total magnetic moment: 0.000 μB per formula unit

Structure (POSCAR):
```
Nd2SbBr
1.0
2.345 1.354 8.830
-2.345 1.354 8.830
0.000 -2.707 8.830
Nd Sb Br
2 1 1
Direct
0.110 0.110 0.110
0.890 0.890 0.890
0.500 0.500 0.500
0.000 0.000 0.000
```

=====

Energies, relative to the best one, in meV/atom: *one* 0; *two* 125.